P.
# AcTbDy2

AcTbDy2 after structural relaxation (GGA-PBE, Alexandria).

Summary:
Calculated volume = 138.5 Å³ per cell

Cell: 3.6986 3.6986 10.1213 Å, 90.00 90.00 90.00°
With the nearest neighbours (Å) after each atom.
Fractional positions:
Ac  0.0000  0.0000  0.0000  4 Ac 3.70, 8 Dy 3.74
Tb  0.0000  0.0000  0.5000  8 Dy 3.54, 4 Tb 3.70
Dy  0.5000  0.5000  0.2636  4 Tb 3.54, 4 Dy 3.70, 4 Ac 3.74
Dy  0.5000  0.5000  0.7364  4 Tb 3.54, 4 Dy 3.70, 4 Ac 3.74

=====

Q.
# AcTbDy2

AcTbDy2 after structural relaxation (GGA-PBE, Alexandria).

Summary:
Calculated volume = 138.7 Å³ per cell

Cell: 11.8914 11.8914 11.8914 Å, 17.90 17.90 17.90°
With the nearest neighbours (Å) after each atom.
Fractional positions:
Ac  0.0000  0.0000  0.0000  6 Ac 3.70, 6 Dy 3.71-3.72
Tb  0.1660  0.1660  0.1660  6 Dy 3.52-3.54, 6 Tb 3.70
Dy  0.4196  0.4196  0.4196  3 Tb 3.52, 6 Dy 3.70, 3 Ac 3.71
Dy  0.5799  0.5799  0.5799  3 Tb 3.54, 6 Dy 3.70, 3 Ac 3.72

=====

R.
# AcTbDy2

AcTbDy2 after structural relaxation (GGA-PBE, Alexandria).

Summary:
Calculated volume = 139.9 Å³ per cell

Cell: 4.1751 4.1751 8.0280 Å, 90.00 90.00 90.00°
With the nearest neighbours (Å) after each atom.
Fractional positions:
Ac  0.0000  0.0000  0.0000  8 Dy 3.68, 2 Tb 4.01
Tb  0.0000  0.0000  0.5000  8 Dy 3.46
Dy  0.5000  0.5000  0.2743  4 Tb 3.46, 1 Dy 3.62, 4 Ac 3.68
Dy  0.5000  0.5000  0.7257  4 Tb 3.46, 1 Dy 3.62, 4 Ac 3.68

=====

S.
# AcTbDy2

AcTbDy2 after structural relaxation (GGA-PBE, Alexandria).

Summary:
Calculated volume = 140.6 Å³ per cell

Cell: 12.8593 12.8593 12.8593 Å, 15.99 15.99 15.99°
With the nearest neighbours (Å) after each atom.
Fractional positions:
Ac  0.0000  0.0000  0.0000  2 Dy 3.52, 6 Ac 3.58
Tb  0.5000  0.5000  0.5000  6 Dy 3.50, 6 Tb 3.58
Dy  0.0926  0.0926  0.0926  3 Tb 3.50, 1 Ac 3.52, 6 Dy 3.58
Dy  0.9074  0.9074  0.9074  3 Tb 3.50, 1 Ac 3.52, 6 Dy 3.58

=====

Most favorable first, least favorable last: Q, P, R, S